Record 1
The following is a DFT calculation (PBE-GGA) of a geometry-optimized Ca2TlRuO8 structure.

The structure in CIF format:
```
data_Ca2TlRuO8
_chemical_formula_sum 'Ca2 Tl1 Ru1 O8'
_space_group_name_H-M_alt 'P 1 2/m 1'
_space_group_IT_number 10
_cell_length_a 4.6428
_cell_length_b 7.3037
_cell_length_c 5.0102
_cell_angle_alpha 90.00
_cell_angle_beta 90.94
_cell_angle_gamma 90.00
loop_
_space_group_symop_operation_xyz
'x,y,z'
'-x,-y,-z'
'-x,y,-z'
'x,-y,z'
loop_
_atom_site_label
_atom_site_type_symbol
_atom_site_fract_x
_atom_site_fract_y
_atom_site_fract_z
Ca1 Ca 0.0000 0.2419 0.0000
Tl1 Tl 0.5000 0.0000 0.5000
Ru1 Ru 0.5000 0.5000 0.5000
O1 O 0.0865 0.5000 0.3830
O2 O 0.1681 0.0000 0.2358
O3 O 0.4041 0.3164 0.7435
```

Formation energy without anion corrections: -1504.0 kJ/mol of formula units
E: -70.90 eV/cell

---

Record 2
The following is a DFT calculation (PBE-GGA) of a geometry-optimized Ca2Tl2RuO6 structure.

The structure in CIF format:
```
data_Ca2Tl2RuO6
_chemical_formula_sum 'Ca4 Tl4 Ru2 O12'
_space_group_name_H-M_alt 'C 1 2/m 1'
_space_group_IT_number 12
_cell_length_a 5.8087
_cell_length_b 10.0186
_cell_length_c 6.4131
_cell_angle_alpha 90.00
_cell_angle_beta 103.86
_cell_angle_gamma 90.00
loop_
_space_group_symop_operation_xyz
'x,y,z'
'-x,-y,-z'
'-x,y,-z'
'x,-y,z'
'x+1/2,y+1/2,z'
'-x+1/2,-y+1/2,-z'
'-x+1/2,y+1/2,-z'
'x+1/2,-y+1/2,z'
loop_
_atom_site_label
_atom_site_type_symbol
_atom_site_fract_x
_atom_site_fract_y
_atom_site_fract_z
Ca1 Ca 0.0000 0.1634 0.0000
Tl1 Tl 0.0000 0.3360 0.5000
Ru1 Ru 0.0000 0.5000 0.0000
O1 O 0.1885 0.3564 0.1722
O2 O 0.2236 0.5000 0.8088
```

Formation energy without anion corrections: -1659.3 kJ/mol of formula units
E: -129.92 eV/cell

---

Record 3
The following is a DFT calculation (PBE-GGA) of a geometry-optimized Ca2TmRuO6 structure.

The structure in CIF format:
```
data_Ca2TmRuO6
_chemical_formula_sum 'Ca4 Tm2 Ru2 O12'
_space_group_name_H-M_alt 'P 1 21/c 1'
_space_group_IT_number 14
_cell_length_a 5.5688
_cell_length_b 5.7795
_cell_length_c 9.7097
_cell_angle_alpha 90.00
_cell_angle_beta 124.52
_cell_angle_gamma 90.00
loop_
_space_group_symop_operation_xyz
'x,y,z'
'-x,-y,-z'
'-x,y+1/2,-z+1/2'
'x,-y+1/2,z+1/2'
loop_
_atom_site_label
_atom_site_type_symbol
_atom_site_fract_x
_atom_site_fract_y
_atom_site_fract_z
Ca1 Ca 0.2353 0.0556 0.2510
Tm1 Tm 0.5000 0.0000 0.0000
Ru1 Ru 0.0000 0.0000 0.5000
O1 O 0.1239 0.2151 0.9405
O2 O 0.2339 0.6890 0.9469
O3 O 0.3413 0.0408 0.7350
```

Formation energy without anion corrections: -2389.0 kJ/mol of formula units
E: -144.52 eV/cell

---

Record 4
The following is a DFT calculation (PBE-GGA) of a geometry-optimized CaTmRuO6 structure.

The structure in CIF format:
```
data_CaTmRuO6
_chemical_formula_sum 'Ca2 Tm2 Ru2 O12'
_space_group_name_H-M_alt 'P -3 1 c'
_space_group_IT_number 163
_space_group_name_Hall '-P 3 2c'
_cell_length_a 5.4637
_cell_length_b 5.4637
_cell_length_c 9.7003
_cell_angle_alpha 90.00
_cell_angle_beta 90.00
_cell_angle_gamma 120.00
loop_
_atom_site_label
_atom_site_type_symbol
_atom_site_fract_x
_atom_site_fract_y
_atom_site_fract_z
Ca1 Ca 0.0000 0.0000 0.0000
Tm1 Tm 0.3333 0.6667 0.2500
Ru1 Ru 0.3333 0.6667 0.7500
O1 O 0.0407 0.3799 0.6389
```

Formation energy without anion corrections: -1722.1 kJ/mol of formula units
E: -126.69 eV/cell

---

Record 5
The following is a DFT calculation (PBE-GGA) of a geometry-optimized Ca2URuO8 structure.

The structure in CIF format:
```
data_Ca2URuO8
_chemical_formula_sum 'Ca2 U1 Ru1 O8'
_space_group_name_H-M_alt 'P 1 2/m 1'
_space_group_IT_number 10
_cell_length_a 5.0817
_cell_length_b 6.6209
_cell_length_c 5.0878
_cell_angle_alpha 90.00
_cell_angle_beta 91.97
_cell_angle_gamma 90.00
loop_
_space_group_symop_operation_xyz
'x,y,z'
'-x,-y,-z'
'-x,y,-z'
'x,-y,z'
loop_
_atom_site_label
_atom_site_type_symbol
_atom_site_fract_x
_atom_site_fract_y
_atom_site_fract_z
Ca1 Ca 0.0000 0.2442 0.0000
U1 U 0.5000 0.5000 0.5000
Ru1 Ru 0.5000 0.0000 0.5000
O1 O 0.2217 0.5000 0.2202
O2 O 0.2425 0.0000 0.2412
O3 O 0.3217 0.2368 0.6769
```

Formation energy without anion corrections: -2685.4 kJ/mol of formula units
E: -92.07 eV/cell

---

| no. | magnetic moment (μB per cell) | density (g/cm³) |
| --- | --- | --- |
| 1 | 1.01 | 5.02 |
| 2 | 4.04 | 6.29 |
| 3 | 6.01 | 5.75 |
| 4 | 2.07 | 5.38 |
| 5 | 1.06 | 5.31 |